## BeAgAu2 (PBE)

Data for a geometry-optimized BeAgAu2 structure. Values from VASP.

Magnetic moment, μB/cell: 0.00
Calculated volume, Å³ per cell: 62.07
Fermi-level density of states, states/eV per cell: 1.17
Energy of formation from the pure elements, eV per atom: -0.032

Geometry as Quantum ESPRESSO input:
```
&SYSTEM
  ibrav = 0, nat = 4, ntyp = 3
/
ATOMIC_SPECIES
Au 196.97 Au.upf
Be 9.01 Be.upf
Ag 107.87 Ag.upf
ATOMIC_POSITIONS crystal
Au 0.500 0.500 0.304
Be 0.000 0.000 0.486
Au 0.000 0.000 0.000
Ag 0.500 0.500 0.710
CELL_PARAMETERS angstrom
-0.040 2.016 -2.163
1.190 -1.969 -1.858
-6.497 -2.150 -1.885
```